NbZnI3: relaxed, PBE-GGA.

Summary:
VASP energy = -3.096 eV/atom
Crystal system = cubic
E above lowest polymorph = 0.000 eV/atom
Formation energy from raw total energies = 0.10 eV/atom

a = 5.701 Å, b = 5.701 Å, c = 5.701 Å
α = 90.00°, β = 90.00°, γ = 90.00°
Element x y z (fractional)
1 Nb 0.000 0.000 0.000
2 Zn 0.500 0.500 0.500
3 I 0.000 0.000 0.500
4 I 0.000 0.500 0.000
5 I 0.500 0.000 0.000

Na4UTe4: relaxed, PBE-GGA.

Summary:
VASP energy = -3.933 eV/atom
Crystal system = tetragonal
Formation energy from raw total energies = -0.70 eV/atom

a = 8.642 Å, b = 8.642 Å, c = 8.642 Å
α = 128.09°, β = 128.09°, γ = 76.48°
Element x y z (fractional)
1 Na 0.000 0.500 0.500
2 Na 0.214 0.214 0.000
3 Na 0.500 0.000 0.500
4 Na 0.786 0.786 0.000
5 U 0.500 0.500 0.000
6 Te 0.154 0.600 0.000
7 Te 0.400 0.400 0.553
8 Te 0.600 0.154 0.000
9 Te 0.846 0.846 0.447

Th2Al9Fe3: relaxed, PBE-GGA.

Summary:
ΔE_f = -386 meV per atom
VASP energy = -5.666 eV/atom
Crystal system = monoclinic

a = 7.578 Å, b = 7.578 Å, c = 10.531 Å
α = 111.49°, β = 111.49°, γ = 59.00°
Element x y z (fractional)
1 Th 0.090 0.251 0.248
2 Th 0.251 0.090 0.748
3 Th 0.749 0.910 0.252
4 Th 0.910 0.749 0.752
5 Al 0.026 0.854 0.071
6 Al 0.146 0.974 0.429
7 Al 0.193 0.360 0.565
8 Al 0.217 0.579 0.253
9 Al 0.321 0.489 0.960
10 Al 0.360 0.193 0.065
11 Al 0.364 0.636 0.750
12 Al 0.421 0.783 0.247
13 Al 0.489 0.321 0.460
14 Al 0.511 0.679 0.540
15 Al 0.579 0.217 0.753
16 Al 0.636 0.364 0.250
17 Al 0.640 0.807 0.935
18 Al 0.679 0.511 0.040
19 Al 0.783 0.421 0.747
20 Al 0.807 0.640 0.435
21 Al 0.854 0.026 0.571
22 Al 0.974 0.146 0.929
23 Fe 0.000 0.500 0.000
24 Fe 0.154 0.672 0.497
25 Fe 0.328 0.846 0.003
26 Fe 0.500 0.000 0.500
27 Fe 0.672 0.154 0.997
28 Fe 0.846 0.328 0.503

SrPm2Tl3: relaxed, PBE-GGA.

Summary:
ΔE_f = -390 meV per atom
VASP energy = -3.437 eV/atom
Crystal system = tetragonal

a = 3.929 Å, b = 3.929 Å, c = 12.004 Å
α = 90.00°, β = 90.00°, γ = 90.00°
Element x y z (fractional)
1 Sr 0.000 0.000 0.000
2 Pm 0.000 0.000 0.338
3 Pm 0.000 0.000 0.662
4 Tl 0.500 0.500 0.182
5 Tl 0.500 0.500 0.500
6 Tl 0.500 0.500 0.818

HgBi4: relaxed, PBE-GGA.

Summary:
ΔE_f = 655 meV per atom
VASP energy = -2.510 eV/atom
Crystal system = cubic
E above lowest polymorph = 0.568 eV/atom

a = 5.698 Å, b = 5.698 Å, c = 5.698 Å
α = 90.00°, β = 90.00°, γ = 90.00°
Element x y z (fractional)
1 Hg 0.000 0.000 0.000
2 Bi 0.000 0.000 0.500
3 Bi 0.000 0.500 0.000
4 Bi 0.500 0.000 0.000
5 Bi 0.500 0.500 0.500

VRe3Au: relaxed, PBE-GGA.

Summary:
ΔE_f = 1684 meV per atom
VASP energy = -8.264 eV/atom
Crystal system = cubic
E above lowest polymorph = 0.000 eV/atom

a = 4.487 Å, b = 4.487 Å, c = 4.487 Å
α = 90.00°, β = 90.00°, γ = 90.00°
Element x y z (fractional)
1 V 0.000 0.000 0.000
2 Re 0.000 0.000 0.500
3 Re 0.000 0.500 0.000
4 Re 0.500 0.000 0.000
5 Au 0.500 0.500 0.500

BaTb2NiS4: relaxed, PBE-GGA.

Summary:
VASP energy = -6.015 eV/atom
Crystal system = orthorhombic
Formation energy from raw total energies = -1.83 eV/atom

a = 7.004 Å, b = 7.004 Å, c = 13.561 Å
α = 90.00°, β = 90.00°, γ = 147.07°
Element x y z (fractional)
1 Ba 0.104 0.896 0.750
2 Ba 0.896 0.104 0.250
3 Tb 0.364 0.636 0.565
4 Tb 0.364 0.636 0.935
5 Tb 0.636 0.364 0.065
6 Tb 0.636 0.364 0.435
7 Ni 0.161 0.839 0.250
8 Ni 0.839 0.161 0.750
9 S 0.000 0.000 0.000
10 S 0.000 0.000 0.500
11 S 0.267 0.733 0.116
12 S 0.267 0.733 0.384
13 S 0.430 0.570 0.750
14 S 0.570 0.430 0.250
15 S 0.733 0.267 0.616
16 S 0.733 0.267 0.884

Tl3BAs: relaxed, PBE-GGA.

Summary:
ΔE_f = 665 meV per atom
VASP energy = -3.020 eV/atom
Crystal system = cubic
E above lowest polymorph = 0.000 eV/atom

a = 4.924 Å, b = 4.924 Å, c = 4.924 Å
α = 90.00°, β = 90.00°, γ = 90.00°
Element x y z (fractional)
1 Tl 0.000 0.000 0.500
2 Tl 0.000 0.500 0.000
3 Tl 0.500 0.000 0.000
4 B 0.000 0.000 0.000
5 As 0.500 0.500 0.500

La2SmCu: relaxed, PBE-GGA.

Summary:
ΔE_f = 55 meV per atom
VASP energy = -4.613 eV/atom
Crystal system = trigonal
E above lowest polymorph = 0.117 eV/atom

a = 10.314 Å, b = 10.314 Å, c = 10.314 Å
α = 21.19°, β = 21.19°, γ = 21.19°
Element x y z (fractional)
1 La 0.000 0.000 0.000
2 La 0.196 0.196 0.196
3 Sm 0.431 0.431 0.431
4 Cu 0.599 0.599 0.599

RbNaReS4: relaxed, PBE-GGA.

Summary:
VASP energy = -5.171 eV/atom
Crystal system = monoclinic
Formation energy from raw total energies = -0.71 eV/atom

a = 6.767 Å, b = 6.970 Å, c = 9.051 Å
α = 90.00°, β = 107.48°, γ = 90.00°
Element x y z (fractional)
1 Rb 0.223 0.250 0.429
2 Rb 0.777 0.750 0.571
3 Na 0.265 0.250 0.950
4 Na 0.735 0.750 0.050
5 Re 0.292 0.750 0.181
6 Re 0.708 0.250 0.819
7 S 0.098 0.750 0.337
8 S 0.103 0.750 0.940
9 S 0.496 0.002 0.222
10 S 0.496 0.498 0.222
11 S 0.504 0.502 0.778
12 S 0.504 0.998 0.778
13 S 0.897 0.250 0.060
14 S 0.902 0.250 0.663

LiMg2Os: relaxed, PBE-GGA.

Summary:
ΔE_f = 186 meV per atom
VASP energy = -3.897 eV/atom
Crystal system = tetragonal

a = 2.852 Å, b = 2.852 Å, c = 8.744 Å
α = 90.00°, β = 90.00°, γ = 90.00°
Element x y z (fractional)
1 Li 0.000 0.000 0.000
2 Mg 0.500 0.500 0.279
3 Mg 0.500 0.500 0.721
4 Os 0.000 0.000 0.500

AgIrW2: relaxed, PBE-GGA.

Summary:
ΔE_f = 435 meV per atom
VASP energy = -8.970 eV/atom
Crystal system = orthorhombic
E above lowest polymorph = 0.198 eV/atom

a = 5.755 Å, b = 5.755 Å, c = 5.755 Å
α = 151.93°, β = 131.36°, γ = 57.10°
Element x y z (fractional)
1 Ag 0.000 0.000 0.000
2 Ir 0.255 0.755 0.500
3 W 0.468 0.468 0.000
4 W 0.704 0.204 0.500

LuAgGePd: relaxed, PBE-GGA.

Summary:
ΔE_f = -500 meV per atom
VASP energy = -4.796 eV/atom
Crystal system = cubic

a = 4.704 Å, b = 4.704 Å, c = 4.704 Å
α = 60.00°, β = 60.00°, γ = 60.00°
Element x y z (fractional)
1 Lu 0.000 0.000 0.000
2 Ag 0.750 0.750 0.750
3 Ge 0.500 0.500 0.500
4 Pd 0.250 0.250 0.250

HoSbPt: relaxed, PBE-GGA.

Summary:
VASP energy = -5.616 eV/atom
Crystal system = tetragonal
Formation energy from raw total energies = -0.70 eV/atom

a = 5.242 Å, b = 5.242 Å, c = 5.242 Å
α = 135.78°, β = 135.78°, γ = 64.31°
Element x y z (fractional)
1 Ho 0.000 0.000 0.000
2 Sb 0.330 0.330 0.000
3 Pt 0.642 0.642 0.000

Ag5SbSe6: relaxed, PBE-GGA.

Summary:
VASP energy = -3.353 eV/atom
Crystal system = monoclinic
Formation energy from raw total energies = -0.08 eV/atom

a = 6.858 Å, b = 6.858 Å, c = 6.934 Å
α = 100.44°, β = 100.44°, γ = 118.85°
Element x y z (fractional)
1 Ag 0.000 0.000 0.000
2 Ag 0.173 0.827 0.500
3 Ag 0.344 0.656 0.000
4 Ag 0.656 0.344 0.000
5 Ag 0.827 0.173 0.500
6 Sb 0.500 0.500 0.500
7 Se 0.105 0.438 0.233
8 Se 0.229 0.229 0.720
9 Se 0.438 0.105 0.233
10 Se 0.562 0.895 0.767
11 Se 0.771 0.771 0.280
12 Se 0.895 0.562 0.767

GdErRu4: relaxed, PBE-GGA.

Summary:
ΔE_f = -292 meV per atom
VASP energy = -9.584 eV/atom
Crystal system = cubic

a = 5.336 Å, b = 5.336 Å, c = 5.336 Å
α = 60.00°, β = 60.00°, γ = 60.00°
Element x y z (fractional)
1 Gd 0.000 0.000 0.000
2 Er 0.250 0.250 0.250
3 Ru 0.125 0.625 0.625
4 Ru 0.625 0.125 0.625
5 Ru 0.625 0.625 0.125
6 Ru 0.625 0.625 0.625

Cu2TeW: relaxed, PBE-GGA.

Summary:
VASP energy = -5.354 eV/atom
Crystal system = orthorhombic
Formation energy from raw total energies = 0.72 eV/atom

a = 2.867 Å, b = 2.867 Å, c = 8.794 Å
α = 90.00°, β = 90.00°, γ = 107.57°
Element x y z (fractional)
1 Cu 0.000 0.000 0.000
2 Cu 0.500 0.500 0.199
3 Te 0.000 0.000 0.501
4 W 0.500 0.500 0.777

TbCePdS3: relaxed, PBE-GGA.

Summary:
VASP energy = -6.378 eV/atom
Crystal system = monoclinic
Formation energy from raw total energies = -1.69 eV/atom

a = 7.969 Å, b = 3.866 Å, c = 8.635 Å
α = 90.00°, β = 102.50°, γ = 90.00°
Element x y z (fractional)
1 Tb 0.173 0.250 0.178
2 Tb 0.827 0.750 0.822
3 Ce 0.321 0.750 0.755
4 Ce 0.679 0.250 0.245
5 Pd 0.394 0.750 0.406
6 Pd 0.606 0.250 0.594
7 S 0.083 0.250 0.845
8 S 0.243 0.250 0.504
9 S 0.408 0.750 0.128
10 S 0.592 0.250 0.872
11 S 0.757 0.750 0.496
12 S 0.917 0.750 0.155

Tm2GaPb: relaxed, PBE-GGA.

Summary:
ΔE_f = -419 meV per atom
VASP energy = -4.339 eV/atom
Crystal system = tetragonal

a = 4.847 Å, b = 4.847 Å, c = 4.227 Å
α = 90.00°, β = 90.00°, γ = 90.00°
Element x y z (fractional)
1 Tm 0.000 0.500 0.000
2 Tm 0.500 0.000 0.000
3 Ga 0.000 0.000 0.500
4 Pb 0.500 0.500 0.500

AcPrSm: relaxed, PBE-GGA.

Summary:
ΔE_f = 34 meV per atom
VASP energy = -4.502 eV/atom
Crystal system = orthorhombic
E above lowest polymorph = 0.000 eV/atom

a = 6.540 Å, b = 6.540 Å, c = 6.540 Å
α = 146.17°, β = 132.04°, γ = 59.98°
Element x y z (fractional)
1 Ac 0.000 0.000 0.000
2 Pr 0.330 0.330 0.000
3 Sm 0.669 0.669 0.000